(1)
Compound: NdHfSi2
Source: the Open Quantum Materials Database
Functional: PBE
Structure: relaxed

Calculated values
SG ... Pmc2_1, No. 26
Distance to the lowest polymorph of the same formula ... 0.079 eV per atom

abc: 3.814 5.649 7.596
angles: 90.00 90.00 90.00
Positions (direct):
Nd 0.000 0.125 0.000
Nd 0.000 0.875 0.500
Hf 0.500 0.376 0.640
Hf 0.500 0.624 0.140
Si 0.000 0.396 0.362
Si 0.000 0.604 0.862
Si 0.500 0.141 0.288
Si 0.500 0.859 0.788



(2)
Compound: Pr2Re2B5Os
Source: the Open Quantum Materials Database
Functional: PBE
Structure: relaxed

Calculated values
E ... -8.319 eV per atom
SG ... C2, No. 5

abc: 5.769 5.769 8.302
angles: 123.70 123.70 41.17
Positions (direct):
Pr 0.165 0.165 0.265
Pr 0.835 0.835 0.735
Re 0.387 0.348 0.098
Re 0.652 0.613 0.902
B 0.156 0.133 0.807
B 0.264 0.697 0.384
B 0.303 0.736 0.616
B 0.500 0.500 0.000
B 0.867 0.844 0.193
Os 0.790 0.210 0.500



(3)
Compound: TbSm2Co2B2P3
Source: the Open Quantum Materials Database
Functional: PBE
Structure: relaxed

Calculated values
E ... -6.650 eV per atom
SG ... I4/mmm, No. 139

abc: 11.296 11.296 11.296
angles: 160.06 160.06 28.35
Positions (direct):
Tb 0.000 0.000 0.000
Sm 0.361 0.361 0.000
Sm 0.639 0.639 0.000
Co 0.250 0.750 0.500
Co 0.750 0.250 0.500
B 0.215 0.215 0.000
B 0.785 0.785 0.000
P 0.125 0.125 0.000
P 0.500 0.500 0.000
P 0.875 0.875 0.000